Crystalline CuAs at its relaxed geometry, computed with PBE.

Output
As for the raw total energy: -4.03 eV/atom. Its density of states at the Fermi level is 4.087 states/eV per cell. Its crystal system is cubic. The calculation puts the spin magnetization at 0.00 μB/f.u.

The structure in CIF format:
```
data_CuAs
_cell_length_a 6.687
_cell_length_b 6.687
_cell_length_c 6.687
_cell_angle_alpha 90.00
_cell_angle_beta 90.00
_cell_angle_gamma 90.00
_space_group_name_H-M_alt 'P m -3 n'
_space_group_IT_number 223
_space_group_name_Hall '-P 4n 2 3'
loop_
_atom_site_label
_atom_site_fract_x
_atom_site_fract_y
_atom_site_fract_z
Cu1 0.000 0.250 0.500
As1 0.000 0.500 0.250
```

=====

Crystalline K2OsF at its relaxed geometry, computed with PBE.

Output
The calculation puts the energy above the most stable polymorph in this dataset at 1.11 eV/f.u. Its density of states at the Fermi level is 35.271 states/eV per cell. Its crystal system is cubic. The formation energy from raw total energies is 0.461 eV per atom. The calculation puts the spin magnetization at 3.00 μB/f.u.

The structure in CIF format:
```
data_K2OsF
_cell_length_a 7.850
_cell_length_b 7.850
_cell_length_c 7.850
_cell_angle_alpha 90.00
_cell_angle_beta 90.00
_cell_angle_gamma 90.00
_space_group_name_H-M_alt 'F m -3 m'
_space_group_IT_number 225
_space_group_name_Hall '-F 4 2 3'
loop_
_atom_site_label
_atom_site_fract_x
_atom_site_fract_y
_atom_site_fract_z
K1 0.250 0.250 0.250
Os1 0.000 0.000 0.000
F1 0.000 0.000 0.500
```

=====

Crystalline Pm3HfSb4 at its relaxed geometry, computed with PBE.

Output
Its density of states at the Fermi level is 2.940 states/eV per cell. Its crystal system is orthorhombic. The formation energy from raw total energies is -0.974 eV per atom. The calculation puts the spin magnetization at 0.00 μB/f.u.

The structure in CIF format:
```
data_Pm3HfSb4
_cell_length_a 8.791
_cell_length_b 12.392
_cell_length_c 4.385
_cell_angle_alpha 90.00
_cell_angle_beta 90.00
_cell_angle_gamma 90.00
_space_group_name_H-M_alt 'C m m m'
_space_group_IT_number 65
_space_group_name_Hall '-C 2 2'
loop_
_atom_site_label
_atom_site_fract_x
_atom_site_fract_y
_atom_site_fract_z
Pm1 0.000 0.000 0.000
Pm2 0.250 0.250 0.500
Hf1 0.000 0.500 0.000
Sb1 0.000 0.259 0.000
Sb2 0.232 0.500 0.500
```